This record from Alexandria via LeMat-Bulk describes a relaxed structure of LiPm2Zr. The functional is GGA-PBE.

Unit cell a=5.620 b=5.620 c=3.488 alpha=90.00 beta=90.00 gamma=90.00
Positions (direct):
Li: 0.000 0.000 0.000
Pm: 0.000 0.500 0.500
Pm: 0.500 0.000 0.500
Zr: 0.500 0.500 0.000

Density of states at the Fermi level = 4.7 states/eV/f.u.
DFT formation energy = 0.177 eV per atom
ρ = 5.85 g/cm3
Size of the total moment = 0.000 μB/atom
Symmetry = P4/mmm, No. 123
E above lowest polymorph = 79 meV/atom


This record from Alexandria via LeMat-Bulk describes a relaxed structure of LiPmZr. The functional is GGA-PBE.

Unit cell a=3.383 b=5.353 c=8.589 alpha=96.14 beta=101.30 gamma=90.00
Positions (direct):
Li: 0.071 0.196 0.139
Li: 0.929 0.804 0.861
Pm: 0.397 0.299 0.795
Pm: 0.603 0.701 0.205
Zr: 0.271 0.758 0.542
Zr: 0.729 0.242 0.458

Density of states at the Fermi level = 3.3 states/eV/f.u.
DFT formation energy = 0.130 eV per atom
ρ = 5.33 g/cm3
Size of the total moment = 0.000 μB/atom
Symmetry = P-1, No. 2
E above lowest polymorph = 0 meV/atom


This record from Alexandria via LeMat-Bulk describes a relaxed structure of LiPmZr. The functional is GGA-PBE.

Unit cell a=7.144 b=7.144 c=7.144 alpha=152.74 beta=152.74 gamma=38.93
Positions (direct):
Li: 0.000 0.000 0.000
Pm: 0.680 0.680 0.000
Zr: 0.348 0.348 0.000

Density of states at the Fermi level = 2.7 states/eV/f.u.
DFT formation energy = 0.178 eV per atom
ρ = 5.29 g/cm3
Size of the total moment = 0.000 μB/atom
Symmetry = I4mm, No. 107
E above lowest polymorph = 48 meV/atom


This record from Alexandria via LeMat-Bulk describes a relaxed structure of Li2Pr. The functional is GGA-PBE.

Unit cell a=6.006 b=6.006 c=6.006 alpha=60.00 beta=60.00 gamma=60.00
Positions (direct):
Li: 0.000 0.000 0.000
Li: 0.000 0.000 0.500
Li: 0.000 0.500 0.000
Li: 0.500 0.000 0.000
Pr: 0.375 0.375 0.375
Pr: 0.625 0.625 0.625

Density of states at the Fermi level = 2.5 states/eV/f.u.
DFT formation energy = 0.097 eV per atom
ρ = 3.36 g/cm3
Size of the total moment = 0.000 μB/atom
Symmetry = Fd-3m, No. 227
E above lowest polymorph = 0 meV/atom